Record 1
A geometry-optimized DyGaCuNi3 structure, computed with PBE.

Values from the calculation:
formation energy = -0.1791 eV/atom
DOS at the Fermi energy = 6.85 states/eV/cell
crystal system = orthorhombic

```
DyGaCuNi3
1.0
5.582 0.000 0.000
0.000 5.273 0.000
0.000 -2.636 6.086
Ni Ga Dy Cu
6 2 2 2
direct
0.500 0.735 0.000
0.500 0.265 0.000
0.000 0.735 0.000
0.750 0.857 0.713
0.000 0.265 0.000
0.250 0.143 0.287
0.750 0.638 0.275
0.250 0.362 0.725
0.250 0.685 0.369
0.750 0.315 0.631
0.750 0.104 0.209
0.250 0.896 0.791
```

=====

Record 2
A geometry-optimized Dy2Ga4CuNi3 structure, computed with PBE.

Values from the calculation:
formation energy = -0.5402 eV/atom
DOS at the Fermi energy = 4.80 states/eV/cell
crystal system = tetragonal

```
Dy2Ga4CuNi3
1.0
-1.938 -0.988 3.343
-0.171 -3.794 -1.221
9.086 -1.921 4.700
Ni Cu Dy Ga
3 1 2 4
direct
0.000 0.500 0.136
0.500 0.000 0.864
0.000 0.000 0.500
0.500 0.500 0.500
0.500 0.000 0.242
0.000 0.500 0.758
0.000 0.000 0.000
0.500 0.500 0.000
0.000 0.500 0.365
0.500 0.000 0.635
```

=====

Record 3
A geometry-optimized Dy2GaCu12Ni3 structure, computed with PBE.

Values from the calculation:
formation energy = -0.0106 eV/atom
DOS at the Fermi energy = 8.16 states/eV/cell
crystal system = trigonal

```
Dy2GaCu12Ni3
1.0
6.167 -1.293 -0.917
1.921 6.001 -0.917
1.921 1.118 5.967
Cu Ga Dy Ni
12 1 2 3
direct
0.425 0.850 0.425
0.850 0.425 0.425
0.200 0.200 0.722
0.425 0.425 0.850
0.800 0.278 0.800
0.575 0.150 0.575
0.278 0.800 0.800
0.575 0.575 0.150
0.722 0.200 0.200
0.800 0.800 0.278
0.200 0.722 0.200
0.150 0.575 0.575
0.000 0.000 0.000
0.254 0.254 0.254
0.746 0.746 0.746
0.500 0.000 0.000
0.000 0.000 0.500
0.000 0.500 0.000
```

=====

Record 4
A geometry-optimized DyGaCu2Ni structure, computed with PBE.

Values from the calculation:
formation energy = -0.3294 eV/atom
DOS at the Fermi energy = 3.11 states/eV/cell
crystal system = orthorhombic

```
DyGaCu2Ni
1.0
-1.632 -1.450 -2.958
1.243 -3.609 1.083
-4.456 1.804 3.859
Ga Cu Dy Ni
1 2 1 1
direct
0.191 0.691 0.381
0.050 0.050 0.101
0.701 0.201 0.402
0.436 0.436 0.871
0.835 0.835 0.669
```

=====

Record 5
A geometry-optimized DyGa3CuOs structure, computed with PBE.

Values from the calculation:
formation energy = -0.1022 eV/atom
DOS at the Fermi energy = 4.59 states/eV/cell
crystal system = orthorhombic

```
DyGa3CuOs
1.0
-4.850 -2.670 0.383
3.721 -6.330 2.987
-2.534 5.095 3.437
Cu Ga Dy Os
2 6 2 2
direct
0.250 0.968 0.935
0.750 0.032 0.065
0.500 0.255 0.000
0.750 0.810 0.619
0.000 0.255 0.000
0.500 0.745 0.000
0.000 0.745 0.000
0.250 0.190 0.381
0.250 0.700 0.400
0.750 0.300 0.600
0.750 0.583 0.165
0.250 0.417 0.835
```

=====

Record 6
A geometry-optimized DyGa2CuPd structure, computed with PBE.

Values from the calculation:
formation energy = -0.5768 eV/atom
DOS at the Fermi energy = 3.52 states/eV/cell
crystal system = tetragonal

```
DyGa2CuPd
1.0
4.164 0.000 0.000
0.000 4.164 0.000
-2.082 -2.082 5.219
Cu Dy Ga Pd
1 1 2 1
direct
0.250 0.750 0.500
0.000 0.000 0.000
0.380 0.380 0.760
0.620 0.620 0.240
0.750 0.250 0.500
```

=====

What did the third record say?
A geometry-optimized Dy2GaCu12Ni3 structure, computed with PBE.

Values from the calculation:
formation energy = -0.0106 eV/atom
DOS at the Fermi energy = 8.16 states/eV/cell
crystal system = trigonal

```
Dy2GaCu12Ni3
1.0
6.167 -1.293 -0.917
1.921 6.001 -0.917
1.921 1.118 5.967
Cu Ga Dy Ni
12 1 2 3
direct
0.425 0.850 0.425
0.850 0.425 0.425
0.200 0.200 0.722
0.425 0.425 0.850
0.800 0.278 0.800
0.575 0.150 0.575
0.278 0.800 0.800
0.575 0.575 0.150
0.722 0.200 0.200
0.800 0.800 0.278
0.200 0.722 0.200
0.150 0.575 0.575
0.000 0.000 0.000
0.254 0.254 0.254
0.746 0.746 0.746
0.500 0.000 0.000
0.000 0.000 0.500
0.000 0.500 0.000
```